w | {"formula": "ScReCl2", "functional": "PBE", "state": "optimized geometry", "lattice_angstrom": [[-1.806, 2.069, 6.333], [1.806, -2.069, 6.333], [1.806, 2.069, -6.333]], "species": ["Sc", "Re", "Cl", "Cl"], "frac_coords": [[0.000, 0.000, 0.000], [0.500, 0.500, 0.000], [0.365, 0.865, 0.500], [0.635, 0.135, 0.500]], "volume_a3_per_cell": 95}

x | {"formula": "ScReCl2", "functional": "PBE", "state": "optimized geometry", "lattice_angstrom": [[0.000, 3.182, 3.182], [3.182, 0.000, 3.182], [3.182, 3.182, 0.000]], "species": ["Sc", "Re", "Cl", "Cl"], "frac_coords": [[0.000, 0.000, 0.000], [0.500, 0.500, 0.500], [0.250, 0.250, 0.250], [0.750, 0.750, 0.750]], "volume_a3_per_cell": 64}

Which structure is the least stable? The one labeled x.